Record 1
8
Lattice="8.6629 0.0000 0.0000 0.0000 8.6629 0.0000 4.3315 4.3315 2.5674" Properties=species:S:1:pos:R:3 comment="LiGa2Sb | Alexandria | PBE | relaxed" dos_at_fermi_per_ev_atom=0.022 spacegroup="I-42d, No. 122" raw_formation_energy_ev_per_atom=-0.103 pbc="T T T"
Sb 0.0000 0.0000 0.0000
Sb 8.6629 4.3315 1.2837
Ga 6.9717 2.1657 0.6419
Ga 1.6912 6.4972 0.6419
Ga 6.4972 6.0227 1.9256
Ga 10.8286 11.3031 1.9256
Li 4.3315 4.3315 0.0000
Li 4.3315 8.6629 1.2837

=====

Record 2
5
Lattice="-4.7549 -2.4800 1.1674 1.3350 -4.1368 -3.3507 2.3440 -2.5643 4.1000" Properties=species:S:1:pos:R:3 comment="Sb2AuSeI | Alexandria | PBE | relaxed" dos_at_fermi_per_ev_atom=0.818 spacegroup="P4/mmm, No. 123" raw_formation_energy_ev_per_atom=0.637 pbc="T T T"
I 1.1720 -1.2822 2.0500
Sb 0.6675 -2.0684 -1.6753
Sb -2.3775 -1.2400 0.5837
Au 0.0000 0.0000 0.0000
Se -0.5380 -4.5906 0.9583

=====

Record 3
12
Lattice="7.3602 -0.0011 0.0004 -3.6793 6.3746 0.0004 -1.2277 -2.1258 6.9401" Properties=species:S:1:pos:R:3 comment="Ce3PmPr2As6 | Alexandria | PBE | relaxed" formation_enthalpy_0k_ev_per_atom=-1.473 dos_at_fermi_per_ev_atom=1.351 spacegroup="C2/m, No. 12" pbc="T T T"
Ce -2.4475 4.2458 3.4704
Ce 4.9007 0.0020 3.4704
Ce 1.2266 2.1239 3.4704
Pm 0.0000 0.0000 0.0000
Pr 0.0027 4.2482 0.0004
Pr 3.6783 2.1254 0.0004
As 3.6716 2.1383 5.1589
As 2.4627 4.2641 1.7862
As -1.2184 2.1095 1.7820
As 0.0172 4.2488 5.1589
As -0.0094 -0.0163 5.1546
As 2.4361 -0.0011 1.7820

=====

Record 4
4
Lattice="8.8583 -0.0419 -0.0249 8.1370 3.5016 -0.0249 8.1370 1.6564 3.0851" Properties=species:S:1:pos:R:3 comment="Y2CrSi | Alexandria | PBE | relaxed" dos_at_fermi_per_ev_atom=1.130 spacegroup="R-3m, No. 166" raw_formation_energy_ev_per_atom=0.186 pbc="T T T"
Cr 6.2831 1.2790 0.7588
Si 18.8493 3.8370 2.2765
Y 0.1439 0.0293 0.0174
Y 12.4223 2.5287 1.5003

=====

no.,mass density (g/cm3),total moment (μB/f.u.),raw total energy (eV per atom)
1,4.62,0.00,-3.1254
2,6.63,0.00,-2.6744
3,6.61,1.86,-6.4741
4,4.39,3.74,-6.8077